No. 1
CeNdHgI after structural relaxation, computed with PBE-GGA.

Values from the calculation:
- Density of states at the Fermi level: 2.415 states/eV per atom
- E_form (uncorrected): -0.457 eV per atom

```
data_CeNdHgI
_chemical_formula_sum 'Ce4 Nd4 Hg4 I4'
_cell_length_a 7.742
_cell_length_b 7.742
_cell_length_c 7.742
_cell_angle_alpha 90.00
_cell_angle_beta 90.00
_cell_angle_gamma 90.00
_symmetry_space_group_name_H-M 'F -4 3 m'
_symmetry_Int_Tables_number 216
_symmetry_space_group_name_Hall 'F -4 2 3'
loop_
_atom_site_label
_atom_site_type_symbol
_atom_site_fract_x
_atom_site_fract_y
_atom_site_fract_z
Ce1 Ce 0.000 0.000 0.000
Nd1 Nd 0.000 0.000 0.500
Hg1 Hg 0.250 0.250 0.250
I1 I 0.250 0.250 0.750
```

No. 2
AlCoOs after structural relaxation, computed with PBE-GGA.

Values from the calculation:
- Density of states at the Fermi level: 0.692 states/eV per atom
- Energy relative to the lowest polymorph listed for this composition: 0.000 eV per atom
- Formation energy: -0.17 eV/atom

```
data_AlCoOs
_chemical_formula_sum 'Al2 Co2 Os2'
_cell_length_a 2.687
_cell_length_b 2.687
_cell_length_c 10.738
_cell_angle_alpha 90.00
_cell_angle_beta 90.00
_cell_angle_gamma 90.00
_symmetry_space_group_name_H-M 'I 4 m m'
_symmetry_Int_Tables_number 107
_symmetry_space_group_name_Hall 'I 4 -2'
loop_
_atom_site_label
_atom_site_type_symbol
_atom_site_fract_x
_atom_site_fract_y
_atom_site_fract_z
Al1 Al 0.000 0.000 0.000
Co1 Co 0.000 0.000 0.337
Os1 Os 0.000 0.000 0.683
```